Here is a relaxed structure of CaPtBr2 from the Alexandria database. Energies are from GGA-PBE.

Structure (extended XYZ):
```
4
Lattice="7.3761 0.0287 -0.0675 6.2777 3.8727 -0.0675 0.1286 0.0367 4.5803" Properties=species:S:1:pos:R:3 pbc="T T T"
Ca 3.4456 0.9845 1.1113
Br 12.1989 3.4857 0.0179
Br 8.3460 2.3848 2.0699
Pt 10.3367 2.9536 3.3340
```

* space group: No. 12
* energy: -3.936 eV/atom
* spin magnetization: 0.0 μB per cell
* formation energy without anion corrections: -420 kJ/mol of formula units

Here is a relaxed structure of CaPtBr2 from the Alexandria database. Energies are from GGA-PBE.

Structure (extended XYZ):
```
4
Lattice="-2.7236 -4.2367 -0.2176 -4.7038 -0.0686 1.8124 -3.9146 -0.3206 -3.1604" Properties=species:S:1:pos:R:3 pbc="T T T"
Br -8.5065 -3.4694 -1.1742
Br -2.8355 -1.1565 -0.3914
Ca 0.0000 0.0000 0.0000
Pt -5.6710 -2.3130 -0.7828
```

* space group: No. 225
* energy: -3.441 eV/atom
* spin magnetization: 0.0 μB per cell
* formation energy without anion corrections: -229 kJ/mol of formula units

Here is a relaxed structure of CaPtBr2 from the Alexandria database. Energies are from GGA-PBE.

Structure (extended XYZ):
```
4
Lattice="4.3101 0.0000 0.0000 0.0000 4.9623 0.0012 0.0000 0.2506 5.0127" Properties=species:S:1:pos:R:3 pbc="T T T"
Br 0.0000 2.7168 2.6113
Br 0.0000 5.1025 4.9096
Pt 2.1550 3.9097 3.7604
Ca 2.1550 1.3032 1.2535
```

* space group: No. 10
* energy: -3.483 eV/atom
* spin magnetization: 0.0 μB per cell
* formation energy without anion corrections: -245 kJ/mol of formula units

Here is a relaxed structure of CaPtBr2 from the Alexandria database. Energies are from GGA-PBE.

Structure (extended XYZ):
```
8
Lattice="5.0675 0.0000 0.0000 0.0000 5.0675 0.0000 2.5337 2.5337 8.4006" Properties=species:S:1:pos:R:3 pbc="T T T"
Br 1.1132 3.8006 2.1001
Br 3.8006 3.6469 6.3004
Br 3.9543 1.2669 2.1001
Br 6.3344 6.4880 6.3004
Ca 2.5337 2.5337 0.0000
Ca 2.5337 5.0675 4.2003
Pt 0.0000 0.0000 0.0000
Pt 5.0675 2.5337 4.2003
```

* space group: No. 122
* energy: -3.552 eV/atom
* spin magnetization: 0.0 μB per cell
* formation energy without anion corrections: -272 kJ/mol of formula units

Here is a relaxed structure of CaPtBr from the Alexandria database. Energies are from GGA-PBE.

Structure (extended XYZ):
```
3
Lattice="-2.4284 6.2463 -0.2603 -4.7846 4.3691 -1.7320 -1.9211 0.2668 2.7348" Properties=species:S:1:pos:R:3 pbc="T T T"
Pt -5.5490 7.3613 -0.5058
Ca -3.6958 3.7373 1.1496
Br -7.1023 10.3990 -1.8934
```

* space group: No. 107
* energy: -3.911 eV/atom
* spin magnetization: 0.0 μB per cell
* formation energy without anion corrections: -195 kJ/mol of formula units

Here is a relaxed structure of CaPtBr5 from the Alexandria database. Energies are from GGA-PBE.

Structure (extended XYZ):
```
14
Lattice="-3.1013 -2.2714 5.7800 6.2776 -1.4796 2.5666 -0.6318 9.8534 0.5841" Properties=species:S:1:pos:R:3 pbc="T T T"
Br -0.8768 2.3282 5.5108
Br 0.7464 1.5349 2.1949
Br 1.7983 4.5675 6.7358
Br -1.3142 7.2446 5.8445
Br 2.3769 1.1525 5.6130
Br 3.0519 -1.7696 6.8631
Br 0.1677 4.9499 3.3177
Br -0.5073 7.8720 2.0675
Br 3.4214 3.7742 3.4199
Br 3.8588 -1.1422 3.0862
Pt 1.2723 3.0512 4.4653
Pt 0.0000 0.0000 0.0000
Ca 0.3904 -0.5048 7.0343
Ca 2.1542 6.6071 1.8964
```

* space group: No. 15
* energy: -3.317 eV/atom
* spin magnetization: 0.0 μB per cell
* formation energy without anion corrections: -657 kJ/mol of formula units

Among the records above, which one has the highest energy?
CaPtBr5

The lowest energy belongs to which entry?
number 1

The lowest formation energy without anion corrections belongs to which entry?
CaPtBr5